A plane-wave DFT calculation with PBE with a Hubbard U was carried out for a geometry-optimized LiDy2CoO6 structure.

Properties
Total energy (hartree per atom): -0.2536

a = 5.2033 Å, b = 5.5954 Å, c = 8.9766 Å
α = 90.00°, β = 124.54°, γ = 90.00°
Closest atoms and distances in Å follow each position.
Space group P2_1/c (No. 14)
Unique sites:
Li 0.0000 0.0000 0.0000 x2  6 O 2.00-2.12
Dy 0.2270 0.0795 0.7470 x4  7 O 2.27-2.53
Co 0.5000 0.0000 0.5000 x2  6 O 1.86-1.88
O 0.1562 0.1812 0.4517 x4  1 Co 1.88, 1 Li 2.11
O 0.2741 0.7159 0.4467 x4  1 Co 1.87
O 0.3590 0.0300 0.2584 x4  1 Co 1.86, 1 Li 2.00